WAu2Br | PBE | optimized geometry

Formation energy from raw total energies ... 353 meV per atom
E above lowest polymorph ... 0.0 kJ/mol of atoms
Magnetization ... 0.0 μB per formula unit
Energy ... -4.942 eV per atom
D(E_F) ... 1.507 states/eV/f.u.

Cell and atoms, written as CIF:
```
data_WAu2Br
_symmetry_space_group_name_H-M 'R 3 m'
_symmetry_Int_Tables_number 160
_symmetry_space_group_name_Hall 'R 3 -2"'
_cell_length_a 3.0862
_cell_length_b 3.0862
_cell_length_c 28.6626
_cell_angle_alpha 90.00
_cell_angle_beta 90.00
_cell_angle_gamma 120.00
loop_
_atom_site_label
_atom_site_fract_x
_atom_site_fract_y
_atom_site_fract_z
W1 0.0000 0.0000 0.0000
Au1 0.0000 0.0000 0.2581
Au2 0.0000 0.0000 0.5123
Br1 0.0000 0.0000 0.7330
```

***

WAu2Br8 | PBE | optimized geometry

Formation energy from raw total energies ... -236 meV per atom
Magnetization ... 0.0 μB per formula unit
Energy ... -3.226 eV per atom
D(E_F) ... 1.165 states/eV/f.u.

Cell and atoms, written as CIF:
```
data_WAu2Br8
_symmetry_space_group_name_H-M 'P -1'
_symmetry_Int_Tables_number 2
_symmetry_space_group_name_Hall '-P 1'
_cell_length_a 6.902
_cell_length_b 7.670
_cell_length_c 8.998
_cell_angle_alpha 114.99
_cell_angle_beta 107.62
_cell_angle_gamma 90.06
loop_
_atom_site_label
_atom_site_fract_x
_atom_site_fract_y
_atom_site_fract_z
W1 0.000 0.000 0.000
Au1 0.033 0.249 0.505
Br1 0.214 0.898 0.793
Br2 0.226 0.312 0.175
Br3 0.226 0.860 0.174
Br4 0.275 0.396 0.794
```